# 1
# PBE Ho3Er3Te2Pt, relaxed
data_Ho3Er3Te2Pt
_cell_length_a 8.3684
_cell_length_b 8.3684
_cell_length_c 3.9251
_cell_angle_alpha 90.00
_cell_angle_beta 90.00
_cell_angle_gamma 120.00
_symmetry_space_group_name_H-M 'P 1'
_symmetry_Int_Tables_number 1
loop_
_symmetry_equiv_pos_as_xyz
'x,y,z'
loop_
_atom_site_label
_atom_site_type_symbol
_atom_site_fract_x
_atom_site_fract_y
_atom_site_fract_z
Te1 Te 0.3333 0.6667 0.5000
Te2 Te 0.6667 0.3333 0.5000
Ho1 Ho 0.7540 0.7540 0.5000
Ho2 Ho 0.2460 0.0000 0.5000
Ho3 Ho 0.0000 0.2460 0.5000
Er1 Er 0.3990 0.3990 0.0000
Er2 Er 0.6010 0.0000 0.0000
Er3 Er 0.0000 0.6010 0.0000
Pt1 Pt 0.0000 0.0000 0.0000
# ΔE to the lowest computed polymorph = 16.0 meV/atom
# Space group = No. 189

***

# 2
# PBE Ho3Er3Te2Pt, relaxed
data_Ho3Er3Te2Pt
_cell_length_a 8.3583
_cell_length_b 8.3583
_cell_length_c 3.9251
_cell_angle_alpha 90.00
_cell_angle_beta 90.00
_cell_angle_gamma 120.00
_symmetry_space_group_name_H-M 'P 1'
_symmetry_Int_Tables_number 1
loop_
_symmetry_equiv_pos_as_xyz
'x,y,z'
loop_
_atom_site_label
_atom_site_type_symbol
_atom_site_fract_x
_atom_site_fract_y
_atom_site_fract_z
Er1 Er 0.0000 0.2456 0.5000
Er2 Er 0.7544 0.7544 0.5000
Er3 Er 0.2456 0.0000 0.5000
Ho1 Ho 0.0000 0.6010 0.0000
Ho2 Ho 0.6010 0.0000 0.0000
Ho3 Ho 0.3990 0.3990 0.0000
Te1 Te 0.3333 0.6667 0.5000
Te2 Te 0.6667 0.3333 0.5000
Pt1 Pt 0.0000 0.0000 0.0000
# ΔE to the lowest computed polymorph = 0.0 meV/atom
# Space group = No. 189